VASP calculation (GGA-PBEsol) on a relaxed LaTa2Ir crystal.

Properties
Excess energy over the best structure of this formula in the dataset   0.0000 eV per atom
M_tot   0.00 μB/cell
VASP energy   -40.0 eV for the cell shown
ΔE_f   1.8 kcal/mol of atoms

POSCAR file:
```
LaTa2Ir
1.0
-0.182 -2.955 0.101
5.095 -0.341 -0.801
-0.407 1.693 5.360
Ta La Ir
2 1 1
direct
0.212 0.194 0.424
0.788 0.806 0.576
0.000 0.500 0.000
0.500 0.000 0.000
```